The following is a DFT calculation (PBE) of an optimized crystal structure of ThZr4Sc15.

Values from the calculation:
**Calculated volume**: 24.2 Å³/atom
**DFT total energy**: -135.98 eV/cell
**Spin magnetization**: 0.000 μB/f.u.
**DFT formation energy**: 0.03 eV per atom

a b c (Å): 4.5839 4.5839 23.0596
angles (deg): 90.00 90.00 90.00
With the nearest neighbours (Å) after each atom.
Fractional coordinates of all 20 atoms:
1 Zr 0.0000 0.0000 0.7973  12 Sc 3.19-3.26
2 Zr 0.0000 0.0000 0.4017  12 Sc 3.22-3.24
3 Zr 0.0000 0.0000 0.5983  12 Sc 3.22-3.24
4 Zr 0.0000 0.0000 0.2027  12 Sc 3.19-3.26
5 Sc 0.0000 0.5000 0.3033  8 Sc 3.22-3.24, 4 Zr 3.22-3.26
6 Sc 0.5000 0.0000 0.6967  8 Sc 3.22-3.24, 4 Zr 3.22-3.26
7 Sc 0.5000 0.0000 0.3033  8 Sc 3.22-3.24, 4 Zr 3.22-3.26
8 Sc 0.5000 0.0000 0.1063  2 Zr 3.19, 8 Sc 3.23-3.36, 2 Th 3.36
9 Sc 0.5000 0.0000 0.5000  4 Zr 3.22, 8 Sc 3.23-3.24
10 Sc 0.5000 0.5000 0.0000  4 Th 3.24, 8 Sc 3.36
11 Sc 0.5000 0.5000 0.4011  8 Sc 3.22-3.23, 4 Zr 3.24
12 Sc 0.0000 0.5000 0.8937  2 Zr 3.19, 8 Sc 3.23-3.36, 2 Th 3.36
13 Sc 0.5000 0.5000 0.5989  8 Sc 3.22-3.23, 4 Zr 3.24
14 Sc 0.5000 0.0000 0.8937  2 Zr 3.19, 8 Sc 3.23-3.36, 2 Th 3.36
15 Sc 0.5000 0.5000 0.7950  8 Sc 3.22-3.23, 4 Zr 3.24
16 Sc 0.0000 0.5000 0.5000  4 Zr 3.22, 8 Sc 3.23-3.24
17 Sc 0.5000 0.5000 0.2050  8 Sc 3.22-3.23, 4 Zr 3.24
18 Sc 0.0000 0.5000 0.1063  2 Zr 3.19, 8 Sc 3.23-3.36, 2 Th 3.36
19 Sc 0.0000 0.5000 0.6967  8 Sc 3.22-3.24, 4 Zr 3.22-3.26
20 Th 0.0000 0.0000 0.0000  12 Sc 3.24-3.36